Entry 1:
VASP calculation (GGA-PBE) on an optimized crystal structure of ErHPd.

Cell: 4.533 3.733 10.764 Å, 100.13 147.00 89.92°
Sites, in units of the cell vectors:
1 H 0.232 0.809 0.118
2 H 0.768 0.191 0.882
3 Pd 0.590 0.080 0.660
4 Pd 0.410 0.920 0.340
5 Er 0.287 0.634 0.767
6 Er 0.713 0.366 0.233

Values from the calculation:
The total energy is -30.588 eV/cell. Its calculated volume is 94 Å³ per cell. Its size of the total moment is 0.0 μB/f.u. The value obtained for the density of states at the Fermi level is 2.121 states/eV per cell.

=====

Entry 2:
VASP calculation (GGA-PBE) on an optimized crystal structure of InCuIrPd.

Cell: 4.447 4.447 4.447 Å, 60.00 60.00 60.00°
Sites, in units of the cell vectors:
1 Pd 0.000 0.000 0.000
2 Cu 0.250 0.250 0.250
3 Ir 0.500 0.500 0.500
4 In 0.750 0.750 0.750

Values from the calculation:
The total energy is -21.414 eV/cell. Its calculated volume is 62 Å³ per cell. Its size of the total moment is 0.0 μB/f.u. The value obtained for the formation energy is -0.5 eV/f.u. The value obtained for the density of states at the Fermi level is 1.177 states/eV per cell.

=====

Entry 3:
VASP calculation (GGA-PBE) on an optimized crystal structure of CaPrYCd.

Cell: 3.668 3.668 9.532 Å, 90.00 90.00 90.00°
Sites, in units of the cell vectors:
1 Cd 0.000 0.000 0.560
2 Pr 0.000 0.000 0.090
3 Y 0.500 0.500 0.355
4 Ca 0.500 0.500 0.780

Values from the calculation:
The total energy is -14.772 eV/cell. Its calculated volume is 128 Å³ per cell. Its size of the total moment is 0.0 μB/f.u. The value obtained for the formation energy is -0.6 eV/f.u. The value obtained for the density of states at the Fermi level is 5.730 states/eV per cell. The energy above the most stable polymorph in this dataset comes out at 0 meV per atom.

=====

Entry 4:
VASP calculation (GGA-PBE) on an optimized crystal structure of Ac3Tb2Pr4.

Cell: 5.360 6.565 11.296 Å, 72.79 90.00 65.91°
Sites, in units of the cell vectors:
1 Tb 0.664 0.671 0.219
2 Tb 0.336 0.329 0.781
3 Ac 0.000 0.000 0.000
4 Ac 0.669 0.662 0.559
5 Ac 0.331 0.338 0.441
6 Pr 0.995 0.009 0.329
7 Pr 0.005 0.991 0.671
8 Pr 0.332 0.335 0.109
9 Pr 0.668 0.665 0.891

Values from the calculation:
The total energy is -40.321 eV/cell. Its calculated volume is 343 Å³ per cell. Its size of the total moment is 0.0 μB/f.u. The value obtained for the formation energy is 0.4 eV/f.u. The value obtained for the density of states at the Fermi level is 16.106 states/eV per cell.

=====

Entry 5:
VASP calculation (GGA-PBE) on an optimized crystal structure of Zr3CuBi.

Cell: 5.388 5.388 5.388 Å, 90.00 90.00 90.00°
Sites, in units of the cell vectors:
1 Zr 0.000 0.000 0.500
2 Zr 0.000 0.500 0.000
3 Zr 0.500 0.000 0.000
4 Cu 0.500 0.500 0.500
5 Bi 0.000 0.000 0.000

Values from the calculation:
The total energy is -27.020 eV/cell. Its calculated volume is 156 Å³ per cell. Its size of the total moment is 0.0 μB/f.u. The value obtained for the formation energy is 6.6 eV/f.u. The value obtained for the density of states at the Fermi level is 5.190 states/eV per cell. The energy above the most stable polymorph in this dataset comes out at 1120 meV per atom.

=====

Entry 6:
VASP calculation (GGA-PBE) on an optimized crystal structure of MgAs2PSe.

Cell: 4.720 4.720 5.042 Å, 90.00 90.00 90.00°
Sites, in units of the cell vectors:
1 P 0.000 0.000 0.000
2 Se 0.000 0.000 0.500
3 As 0.000 0.500 0.000
4 As 0.500 0.000 0.000
5 Mg 0.500 0.500 0.500

Values from the calculation:
The total energy is -17.871 eV/cell. As for the uncorrected formation energy: 0.383 eV per atom. Its calculated volume is 112 Å³ per cell. Its size of the total moment is 0.0 μB/f.u. The value obtained for the density of states at the Fermi level is 3.787 states/eV per cell. The energy above the most stable polymorph in this dataset comes out at 0 meV per atom.

=====

Entry 7:
VASP calculation (GGA-PBE) on an optimized crystal structure of BaSrO2.

Cell: 4.554 4.554 8.776 Å, 89.89 89.89 88.18°
Sites, in units of the cell vectors:
1 O 0.811 0.811 0.875
2 O 0.753 0.247 0.500
3 O 0.247 0.753 0.500
4 O 0.189 0.189 0.125
5 Sr 0.748 0.748 0.595
6 Sr 0.252 0.252 0.405
7 Ba 0.794 0.794 0.155
8 Ba 0.206 0.206 0.845

Values from the calculation:
The total energy is -46.319 eV/cell. As for the uncorrected formation energy: -2.410 eV per atom. Its calculated volume is 182 Å³ per cell. Its size of the total moment is 0.0 μB/f.u. The value obtained for the density of states at the Fermi level is 0.000 states/eV per cell. The energy above the most stable polymorph in this dataset comes out at 166 meV per atom.

=====

Entry 8:
VASP calculation (GGA-PBE) on an optimized crystal structure of LiGaAu4.

Cell: 3.681 5.236 6.678 Å, 109.66 74.00 69.42°
Sites, in units of the cell vectors:
1 Ga 0.500 0.500 0.500
2 Au 0.172 0.487 0.168
3 Au 0.328 0.020 0.324
4 Au 0.672 0.980 0.676
5 Au 0.828 0.513 0.832
6 Li 0.000 0.000 0.000

Values from the calculation:
The total energy is -19.762 eV/cell. Its calculated volume is 102 Å³ per cell. Its size of the total moment is 0.0 μB/f.u. The value obtained for the formation energy is -1.7 eV/f.u. The value obtained for the density of states at the Fermi level is 1.533 states/eV per cell. The energy above the most stable polymorph in this dataset comes out at 0 meV per atom.

=====

Question: What is the formula in the seventh record?
Answer: BaSrO2

=====

Question: Look up the calculated volume of the third one.
Answer: 128 Å³ per cell

=====

Question: Which value of calculated volume does entry 5 give?
Answer: 156 Å³ per cell